# 1
First-principles (PBE) data for MnPdI2N after structural relaxation, as listed in the Alexandria database.

## Properties
ΔE_f (raw)   795 meV per atom
SG   P4/mmm

Cell lengths 5.7689, 5.7689, 3.7584 Å; angles 90.00, 90.00, 90.00 degrees
Sites, in units of the cell vectors:
Mn (0.0000, 0.0000, 0.0000)
Pd (0.5000, 0.5000, 0.5000)
I (0.0000, 0.5000, 0.5000)
I (0.5000, 0.0000, 0.5000)
N (0.5000, 0.5000, 0.0000)

# 2
First-principles (PBE) data for MnPdI2N after structural relaxation, as listed in the Alexandria database.

## Properties
ΔE_f (raw)   401 meV per atom
SG   P4/mmm

Cell lengths 5.4673, 5.4673, 3.5229 Å; angles 90.00, 90.00, 90.00 degrees
Sites, in units of the cell vectors:
Mn (0.0000, 0.0000, 0.0000)
Pd (0.5000, 0.5000, 0.5000)
I (0.0000, 0.5000, 0.0000)
I (0.5000, 0.0000, 0.0000)
N (0.0000, 0.0000, 0.5000)

# 3
First-principles (PBE) data for MnPtI2N after structural relaxation, as listed in the Alexandria database.

## Properties
ΔE_f (raw)   664 meV per atom
SG   P4/mmm

Cell lengths 5.7828, 5.7828, 3.7308 Å; angles 90.00, 90.00, 90.00 degrees
Sites, in units of the cell vectors:
Mn (0.0000, 0.0000, 0.0000)
Pt (0.5000, 0.5000, 0.5000)
I (0.0000, 0.5000, 0.5000)
I (0.5000, 0.0000, 0.5000)
N (0.5000, 0.5000, 0.0000)